[1]
Computed, not measured: a relaxed structure of HoTmCl3 at the PBE level of DFT.

Cell lengths 16.730, 3.762, 10.589 Å; angles 90.00, 122.71, 90.00 degrees
Space group C2/m (No. 12)
Symmetry-distinct sites (fractional):
Ho 0.138 0.000 0.288 [4 per cell]
Tm 0.077 0.500 0.955 [4 per cell]
Cl 0.035 0.000 0.743 [4 per cell]
Cl 0.167 0.500 0.508 [4 per cell]
Cl 0.214 0.000 0.116 [4 per cell]

Calculated total energy   -4.73 eV/atom
E_form (uncorrected)   -9.078 eV/f.u.
M_tot   0.00 μB per cell

[2]
Computed, not measured: a relaxed structure of Bi2Pb2Au at the PBE level of DFT.

Cell lengths 7.566, 7.566, 5.510 Å; angles 90.00, 90.00, 90.00 degrees
Space group P4/mbm (No. 127)
Symmetry-distinct sites (fractional):
Bi 0.148 0.352 0.000 [4 per cell]
Pb 0.179 0.679 0.500 [4 per cell]
Au 0.000 0.000 0.000 [2 per cell]

Energy of formation   0.0839 eV/atom
N(E_F)   2.392 states/eV/f.u.
Calculated total energy   -3.61 eV/atom
Energy relative to the lowest polymorph listed for this composition   100 meV/atom
M_tot   0.00 μB per cell

[3]
Computed, not measured: a relaxed structure of Tb2NdZrN4 at the PBE level of DFT.

Cell lengths 5.989, 3.461, 6.027 Å; angles 90.00, 109.22, 90.00 degrees
Space group P2/m (No. 10)
Symmetry-distinct sites (fractional):
Tb 0.000 0.000 0.000 [1 per cell]
Tb 0.000 0.500 0.500 [1 per cell]
Nd 0.500 0.000 0.500 [1 per cell]
Zr 0.500 0.500 0.000 [1 per cell]
N 0.253 0.500 0.232 [2 per cell]
N 0.261 0.000 0.768 [2 per cell]

N(E_F)   1.144 states/eV/f.u.
Calculated total energy   -8.57 eV/atom
E_form (uncorrected)   -12.660 eV/f.u.
M_tot   0.00 μB per cell

[4]
Computed, not measured: a relaxed structure of Pb2WCl at the PBE level of DFT.

Cell lengths 3.910, 5.029, 9.462 Å; angles 90.00, 90.00, 90.00 degrees
Space group Cmmm (No. 65)
Symmetry-distinct sites (fractional):
Pb 0.000 0.000 0.245 [4 per cell]
W 0.000 0.500 0.000 [2 per cell]
Cl 0.000 0.500 0.500 [2 per cell]

N(E_F)   2.032 states/eV/f.u.
Calculated total energy   -5.05 eV/atom
Energy relative to the lowest polymorph listed for this composition   150 meV/atom
E_form (uncorrected)   2.001 eV/f.u.
M_tot   0.00 μB per cell

[5]
Computed, not measured: a relaxed structure of Ba3In3Sn2 at the PBE level of DFT.

Cell lengths 4.963, 13.231, 17.398 Å; angles 90.00, 90.00, 90.00 degrees
Space group Cmcm (No. 63)
Symmetry-distinct sites (fractional):
Ba 0.000 0.061 0.104 [8 per cell]
Ba 0.000 0.345 0.250 [4 per cell]
In 0.000 0.359 0.039 [8 per cell]
In 0.000 0.378 0.750 [4 per cell]
Sn 0.000 0.235 0.611 [8 per cell]

Energy of formation   -0.5189 eV/atom
N(E_F)   3.357 states/eV/f.u.
Calculated total energy   -3.27 eV/atom
M_tot   0.00 μB per cell

[6]
Computed, not measured: a relaxed structure of Ca2Zn10Cd at the PBE level of DFT.

Cell lengths 7.857, 12.593, 5.507 Å; angles 90.00, 90.00, 90.00 degrees
Space group Pbam (No. 55)
Symmetry-distinct sites (fractional):
Ca 0.229 0.091 0.000 [4 per cell]
Zn 0.013 0.671 0.500 [4 per cell]
Zn 0.161 0.491 0.500 [4 per cell]
Zn 0.173 0.180 0.500 [4 per cell]
Zn 0.177 0.833 0.231 [8 per cell]
Cd 0.000 0.000 0.500 [2 per cell]

Energy of formation   -0.0417 eV/atom
N(E_F)   4.887 states/eV/f.u.
Calculated total energy   -1.40 eV/atom
M_tot   0.00 μB per cell

[7]
Computed, not measured: a relaxed structure of Sr2Sc2C at the PBE level of DFT.

Cell lengths 7.046, 7.046, 6.317 Å; angles 90.00, 90.00, 90.00 degrees
Space group P4/mbm (No. 127)
Symmetry-distinct sites (fractional):
Sr 0.180 0.320 0.000 [4 per cell]
Sc 0.153 0.653 0.500 [4 per cell]
C 0.000 0.000 0.000 [2 per cell]

Energy of formation   1.0750 eV/atom
N(E_F)   9.992 states/eV/f.u.
Calculated total energy   -3.98 eV/atom
Energy relative to the lowest polymorph listed for this composition   135 meV/atom
M_tot   1.10 μB per cell

[8]
Computed, not measured: a relaxed structure of VZn2Ag at the PBE level of DFT.

Cell lengths 2.751, 2.751, 7.897 Å; angles 90.00, 90.00, 90.00 degrees
Space group P4/mmm (No. 123)
Symmetry-distinct sites (fractional):
V 0.000 0.000 0.000 [1 per cell]
Zn 0.500 0.500 0.239 [2 per cell]
Ag 0.000 0.000 0.500 [1 per cell]

Energy of formation   0.0114 eV/atom
N(E_F)   2.143 states/eV/f.u.
Calculated total energy   -3.62 eV/atom
M_tot   0.00 μB per cell

[9]
Computed, not measured: a relaxed structure of Ac8Ir3PbBr4 at the PBE level of DFT.

Cell lengths 9.0386, 9.0386, 24.4094 Å; angles 90.00, 90.00, 120.00 degrees
Space group R-3m (No. 166, hexagonal axes)
Symmetry-distinct sites (fractional):
Ac 0.0000 0.0000 0.2326 [6 per cell]
Ac 0.0266 0.5133 0.7671 [18 per cell]
Ir 0.0000 0.5000 0.5000 [9 per cell]
Pb 0.0000 0.0000 0.5000 [3 per cell]
Br 0.0000 0.0000 0.0000 [3 per cell]
Br 0.0000 0.5000 0.0000 [9 per cell]

N(E_F)   11.820 states/eV/f.u.
Calculated total energy   -5.43 eV/atom
E_form (uncorrected)   -17.093 eV/f.u.
M_tot   0.00 μB per cell

[10]
Computed, not measured: a relaxed structure of Be2CrAg at the PBE level of DFT.

Cell lengths 7.654, 2.554, 4.989 Å; angles 90.00, 97.12, 90.00 degrees
Space group C2/m (No. 12)
Symmetry-distinct sites (fractional):
Be 0.249 0.000 0.204 [4 per cell]
Cr 0.000 0.500 0.000 [2 per cell]
Ag 0.000 0.000 0.500 [2 per cell]

Energy of formation   0.4449 eV/atom
N(E_F)   2.643 states/eV/f.u.
Calculated total energy   -4.54 eV/atom
Energy relative to the lowest polymorph listed for this composition   234 meV/atom
M_tot   1.94 μB per cell

[11]
Computed, not measured: a relaxed structure of CuAg2PdF6 at the PBE level of DFT.

Cell lengths 5.762, 5.805, 9.999 Å; angles 90.00, 125.10, 90.00 degrees
Space group P2_1/c (No. 14)
Symmetry-distinct sites (fractional):
Cu 0.000 0.000 0.000 [2 per cell]
Ag 0.240 0.042 0.750 [4 per cell]
Pd 0.500 0.000 0.500 [2 per cell]
F 0.153 0.212 0.456 [4 per cell]
F 0.241 0.700 0.454 [4 per cell]
F 0.331 0.021 0.243 [4 per cell]

N(E_F)   1.825 states/eV/f.u.
Calculated total energy   -3.81 eV/atom
E_form (uncorrected)   -11.910 eV/f.u.
M_tot   2.06 μB per cell

[12]
Computed, not measured: a relaxed structure of SrSn2Au2 at the PBE level of DFT.

Cell lengths 8.451, 8.451, 3.493 Å; angles 90.00, 90.00, 90.00 degrees
Space group P4/mbm (No. 127)
Symmetry-distinct sites (fractional):
Sr 0.000 0.000 0.000 [2 per cell]
Sn 0.134 0.366 0.000 [4 per cell]
Au 0.162 0.662 0.500 [4 per cell]

Energy of formation   -0.2967 eV/atom
N(E_F)   2.857 states/eV/f.u.
Calculated total energy   -3.55 eV/atom
M_tot   0.00 μB per cell